Computed, not measured: a relaxed structure of BaBi12Pd4 at the PBE-GGA level of DFT.

For the energy of formation, the calculation gives -277 meV/atom.

abc: 8.704 8.704 8.704
angles: 109.47 109.47 109.47
Sites, in units of the cell vectors:
Ba (0.000, 0.000, 0.000)
Bi (0.161, 0.502, 0.342)
Bi (0.161, 0.819, 0.658)
Bi (0.181, 0.342, 0.839)
Bi (0.342, 0.161, 0.502)
Bi (0.342, 0.839, 0.181)
Bi (0.498, 0.658, 0.839)
Bi (0.502, 0.342, 0.161)
Bi (0.658, 0.161, 0.819)
Bi (0.658, 0.839, 0.498)
Bi (0.819, 0.658, 0.161)
Bi (0.839, 0.181, 0.342)
Bi (0.839, 0.498, 0.658)
Pd (0.000, 0.000, 0.500)
Pd (0.000, 0.500, 0.000)
Pd (0.500, 0.000, 0.000)
Pd (0.500, 0.500, 0.500)



Computed, not measured: a relaxed structure of UGeI6 at the PBE-GGA level of DFT.

For the uncorrected formation energy, the calculation gives -0.57 eV/atom. The relative energy among the computed polymorphs is 24.5 meV per atom.

abc: 7.510 7.510 13.810
angles: 90.00 90.00 120.00
Sites, in units of the cell vectors:
U (0.000, 0.000, 0.000)
U (0.000, 0.000, 0.500)
Ge (0.333, 0.667, 0.250)
Ge (0.667, 0.333, 0.750)
I (0.003, 0.331, 0.375)
I (0.003, 0.671, 0.125)
I (0.329, 0.331, 0.125)
I (0.329, 0.997, 0.375)
I (0.331, 0.003, 0.875)
I (0.331, 0.329, 0.625)
I (0.669, 0.671, 0.375)
I (0.669, 0.997, 0.125)
I (0.671, 0.003, 0.625)
I (0.671, 0.669, 0.875)
I (0.997, 0.329, 0.875)
I (0.997, 0.669, 0.625)



Computed, not measured: a relaxed structure of LaPrInRu at the PBE-GGA level of DFT.

For the energy of formation, the calculation gives -185 meV/atom.

abc: 5.295 5.295 5.295
angles: 60.00 60.00 60.00
Sites, in units of the cell vectors:
La (0.000, 0.000, 0.000)
Pr (0.500, 0.500, 0.500)
In (0.750, 0.750, 0.750)
Ru (0.250, 0.250, 0.250)



Computed, not measured: a relaxed structure of Sm2ZrPaN4 at the PBE-GGA level of DFT.

For the uncorrected formation energy, the calculation gives -1.62 eV/atom.

abc: 5.979 3.475 6.052
angles: 90.00 108.98 90.00
Sites, in units of the cell vectors:
Sm (0.000, 0.000, 0.000)
Sm (0.500, 0.500, 0.000)
Zr (0.000, 0.500, 0.500)
Pa (0.500, 0.000, 0.500)
N (0.240, 0.000, 0.718)
N (0.254, 0.500, 0.279)
N (0.746, 0.500, 0.721)
N (0.760, 0.000, 0.282)



Computed, not measured: a relaxed structure of CrCo2Os at the PBE-GGA level of DFT.

The relative energy among the computed polymorphs is 286.1 meV per atom. For the energy of formation, the calculation gives 298 meV/atom.

abc: 4.111 4.111 4.111
angles: 60.00 60.00 60.00
Sites, in units of the cell vectors:
Cr (0.000, 0.000, 0.000)
Co (0.250, 0.250, 0.250)
Co (0.750, 0.750, 0.750)
Os (0.500, 0.500, 0.500)



Computed, not measured: a relaxed structure of Nd3TlSn3 at the PBE-GGA level of DFT.

For the energy of formation, the calculation gives -422 meV/atom.

abc: 9.208 9.208 5.536
angles: 90.00 90.00 120.00
Sites, in units of the cell vectors:
Nd (0.095, 0.655, 0.250)
Nd (0.345, 0.439, 0.250)
Nd (0.439, 0.095, 0.750)
Nd (0.561, 0.905, 0.250)
Nd (0.655, 0.561, 0.750)
Nd (0.905, 0.345, 0.750)
Tl (0.333, 0.667, 0.750)
Tl (0.667, 0.333, 0.250)
Sn (0.049, 0.819, 0.750)
Sn (0.181, 0.230, 0.750)
Sn (0.230, 0.049, 0.250)
Sn (0.770, 0.951, 0.750)
Sn (0.819, 0.770, 0.250)
Sn (0.951, 0.181, 0.250)



Computed, not measured: a relaxed structure of Ac3Ga2GePt9 at the PBE-GGA level of DFT.

For the energy of formation, the calculation gives -682 meV/atom.

abc: 6.660 6.660 8.850
angles: 90.00 90.00 120.00
Sites, in units of the cell vectors:
Ac (0.000, 0.000, 0.000)
Ac (0.333, 0.667, 0.693)
Ac (0.667, 0.333, 0.307)
Ga (0.333, 0.667, 0.187)
Ga (0.667, 0.333, 0.813)
Ge (0.000, 0.000, 0.500)
Pt (0.000, 0.500, 0.000)
Pt (0.141, 0.282, 0.291)
Pt (0.141, 0.859, 0.291)
Pt (0.282, 0.141, 0.709)
Pt (0.500, 0.000, 0.000)
Pt (0.500, 0.500, 0.000)
Pt (0.718, 0.859, 0.291)
Pt (0.859, 0.141, 0.709)
Pt (0.859, 0.718, 0.709)



Computed, not measured: a relaxed structure of Tb5SbAu2 at the PBE-GGA level of DFT.

For the uncorrected formation energy, the calculation gives -0.41 eV/atom. The relative energy among the computed polymorphs is 340.8 meV per atom.

abc: 10.171 10.171 10.171
angles: 137.26 137.26 62.03
Sites, in units of the cell vectors:
Tb (0.000, 0.000, 0.000)
Tb (0.001, 0.501, 0.170)
Tb (0.169, 0.999, 0.500)
Tb (0.331, 0.831, 0.830)
Tb (0.499, 0.669, 0.500)
Tb (0.500, 0.500, 0.000)
Tb (0.501, 0.331, 0.500)
Tb (0.669, 0.169, 0.170)
Tb (0.831, 0.001, 0.500)
Tb (0.999, 0.499, 0.830)
Sb (0.250, 0.250, 0.000)
Sb (0.750, 0.750, 0.000)
Au (0.127, 0.627, 0.755)
Au (0.373, 0.127, 0.500)
Au (0.627, 0.873, 0.500)
Au (0.873, 0.373, 0.245)



Computed, not measured: a relaxed structure of Tm3SnTe3 at the PBE-GGA level of DFT.

For the uncorrected formation energy, the calculation gives -0.95 eV/atom.

abc: 8.024 8.024 8.024
angles: 68.51 68.51 68.51
Sites, in units of the cell vectors:
Tm (0.035, 0.798, 0.434)
Tm (0.202, 0.566, 0.965)
Tm (0.434, 0.035, 0.798)
Tm (0.566, 0.965, 0.202)
Tm (0.798, 0.434, 0.035)
Tm (0.965, 0.202, 0.566)
Sn (0.160, 0.160, 0.160)
Sn (0.840, 0.840, 0.840)
Te (0.151, 0.398, 0.677)
Te (0.323, 0.849, 0.602)
Te (0.398, 0.677, 0.151)
Te (0.602, 0.323, 0.849)
Te (0.677, 0.151, 0.398)
Te (0.849, 0.602, 0.323)



Computed, not measured: a relaxed structure of Np2NbNiS5 at the PBE-GGA level of DFT.

For the uncorrected formation energy, the calculation gives -1.13 eV/atom.

abc: 8.175 8.175 11.277
angles: 90.00 90.00 154.12
Sites, in units of the cell vectors:
Np (0.106, 0.894, 0.500)
Np (0.125, 0.875, 0.858)
Np (0.875, 0.125, 0.358)
Np (0.894, 0.106, 0.000)
Nb (0.175, 0.825, 0.180)
Nb (0.825, 0.175, 0.680)
Ni (0.437, 0.563, 0.585)
Ni (0.563, 0.437, 0.085)
S (0.020, 0.980, 0.182)
S (0.305, 0.695, 0.526)
S (0.307, 0.693, 0.840)
S (0.339, 0.661, 0.177)
S (0.497, 0.503, 0.409)
S (0.503, 0.497, 0.909)
S (0.661, 0.339, 0.677)
S (0.693, 0.307, 0.340)
S (0.695, 0.305, 0.026)
S (0.980, 0.020, 0.682)



Computed, not measured: a relaxed structure of Na2CaMg at the PBE-GGA level of DFT.

For the energy of formation, the calculation gives 133 meV/atom.

abc: 12.066 12.066 12.066
angles: 17.51 17.51 17.51
Sites, in units of the cell vectors:
Na (0.000, 0.000, 0.000)
Na (0.180, 0.180, 0.180)
Ca (0.757, 0.757, 0.757)
Mg (0.590, 0.590, 0.590)



Computed, not measured: a relaxed structure of HfTc at the PBE-GGA level of DFT.

For the energy of formation, the calculation gives -220 meV/atom.

abc: 4.926 4.926 3.110
angles: 98.14 98.14 104.15
Sites, in units of the cell vectors:
Hf (0.215, 0.785, 0.000)
Hf (0.785, 0.215, 0.000)
Tc (0.289, 0.289, 0.596)
Tc (0.711, 0.711, 0.404)



Computed, not measured: a relaxed structure of LaPrMg at the PBE-GGA level of DFT.

The relative energy among the computed polymorphs is 0.7 meV per atom. For the energy of formation, the calculation gives -56 meV/atom.

abc: 7.079 7.079 7.079
angles: 148.09 148.09 45.75
Sites, in units of the cell vectors:
La (0.000, 0.000, 0.000)
Pr (0.309, 0.309, 0.000)
Mg (0.658, 0.658, 0.000)



Computed, not measured: a relaxed structure of SmMgCu17 at the PBE-GGA level of DFT.

For the energy of formation, the calculation gives -48 meV/atom.

abc: 6.432 6.432 6.432
angles: 82.79 82.79 82.79
Sites, in units of the cell vectors:
Sm (0.000, 0.000, 0.000)
Mg (0.318, 0.318, 0.318)
Cu (0.009, 0.009, 0.499)
Cu (0.009, 0.499, 0.009)
Cu (0.158, 0.662, 0.662)
Cu (0.316, 0.316, 0.806)
Cu (0.316, 0.806, 0.316)
Cu (0.363, 0.656, 0.959)
Cu (0.363, 0.959, 0.656)
Cu (0.499, 0.009, 0.009)
Cu (0.557, 0.557, 0.557)
Cu (0.656, 0.363, 0.959)
Cu (0.656, 0.959, 0.363)
Cu (0.662, 0.158, 0.662)
Cu (0.662, 0.662, 0.158)
Cu (0.753, 0.753, 0.753)
Cu (0.806, 0.316, 0.316)
Cu (0.959, 0.363, 0.656)
Cu (0.959, 0.656, 0.363)



Computed, not measured: a relaxed structure of TaIn2Bi at the PBE-GGA level of DFT.

For the energy of formation, the calculation gives 596 meV/atom.

abc: 11.797 11.797 11.797
angles: 15.66 15.66 15.66
Sites, in units of the cell vectors:
Ta (0.000, 0.000, 0.000)
In (0.082, 0.082, 0.082)
In (0.918, 0.918, 0.918)
Bi (0.500, 0.500, 0.500)



Computed, not measured: a relaxed structure of AcHoTe2 at the PBE-GGA level of DFT.

For the uncorrected formation energy, the calculation gives -1.33 eV/atom. The relative energy among the computed polymorphs is 36.5 meV per atom.

abc: 8.628 8.628 8.628
angles: 28.88 28.88 28.88
Sites, in units of the cell vectors:
Ac (0.000, 0.000, 0.000)
Ho (0.827, 0.827, 0.827)
Te (0.421, 0.421, 0.421)
Te (0.573, 0.573, 0.573)



Computed, not measured: a relaxed structure of BeAsPb2 at the PBE-GGA level of DFT.

The relative energy among the computed polymorphs is 33.0 meV per atom. For the energy of formation, the calculation gives 215 meV/atom.

abc: 5.131 5.131 6.286
angles: 112.31 112.31 42.05
Sites, in units of the cell vectors:
Be (0.000, 0.000, 0.000)
As (0.625, 0.625, 0.006)
Pb (0.277, 0.277, 0.697)
Pb (0.455, 0.455, 0.321)



Computed, not measured: a relaxed structure of Te2WBr5 at the PBE-GGA level of DFT.

For the uncorrected formation energy, the calculation gives -0.18 eV/atom.

abc: 7.200 7.295 8.171
angles: 81.05 64.26 60.49
Sites, in units of the cell vectors:
Te (0.000, 0.000, 0.000)
Te (0.358, 0.002, 0.001)
W (0.336, 0.500, 0.499)
Br (0.004, 0.499, 0.496)
Br (0.124, 0.575, 0.843)
Br (0.349, 0.827, 0.465)
Br (0.545, 0.425, 0.154)
Br (0.641, 0.173, 0.536)



Computed, not measured: a relaxed structure of ZrVRe2Ru at the PBE-GGA level of DFT.

For the energy of formation, the calculation gives 2374 meV/atom.

abc: 4.742 4.742 4.634
angles: 90.00 90.00 90.00
Sites, in units of the cell vectors:
Zr (0.000, 0.000, 0.000)
V (0.500, 0.500, 0.500)
Re (0.000, 0.500, 0.000)
Re (0.500, 0.000, 0.000)
Ru (0.000, 0.000, 0.500)



Computed, not measured: a relaxed structure of Tb4CS2O at the PBE-GGA level of DFT.

For the uncorrected formation energy, the calculation gives -1.86 eV/atom.

abc: 6.360 3.700 6.640
angles: 90.00 108.73 90.00
Sites, in units of the cell vectors:
Tb (0.235, 0.000, 0.213)
Tb (0.254, 0.500, 0.784)
Tb (0.746, 0.500, 0.216)
Tb (0.765, 0.000, 0.787)
C (0.000, 0.500, 0.000)
S (0.000, 0.000, 0.500)
S (0.500, 0.500, 0.500)
O (0.500, 0.000, 0.000)



Computed, not measured: a relaxed structure of Sc3AlN at the PBE-GGA level of DFT.

For the uncorrected formation energy, the calculation gives -0.44 eV/atom.

abc: 6.979 6.979 6.979
angles: 128.16 128.16 76.36
Sites, in units of the cell vectors:
Sc (0.129, 0.129, 0.000)
Sc (0.368, 0.618, 0.749)
Sc (0.382, 0.131, 0.749)
Sc (0.382, 0.632, 0.251)
Sc (0.869, 0.618, 0.251)
Sc (0.871, 0.871, 0.000)
Al (0.627, 0.127, 0.500)
Al (0.873, 0.373, 0.500)
N (0.250, 0.750, 0.500)
N (0.500, 0.500, 0.000)



Computed, not measured: a relaxed structure of KRe2Pb at the PBE-GGA level of DFT.

For the energy of formation, the calculation gives 1353 meV/atom.

abc: 2.789 5.546 5.707
angles: 90.00 92.84 90.00
Sites, in units of the cell vectors:
K (0.000, 0.000, 0.000)
Re (0.372, 0.500, 0.798)
Re (0.628, 0.500, 0.202)
Pb (0.500, 0.000, 0.500)



Computed, not measured: a relaxed structure of Hf2CdPd6 at the PBE-GGA level of DFT.

For the energy of formation, the calculation gives -495 meV/atom.

abc: 7.725 7.725 2.923
angles: 100.83 100.83 65.93
Sites, in units of the cell vectors:
Hf (0.159, 0.159, 0.159)
Hf (0.841, 0.841, 0.841)
Cd (0.500, 0.500, 0.000)
Pd (0.154, 0.492, 0.822)
Pd (0.175, 0.825, 0.500)
Pd (0.492, 0.154, 0.822)
Pd (0.508, 0.846, 0.178)
Pd (0.825, 0.175, 0.500)
Pd (0.846, 0.508, 0.178)



Calculated values (states/eV/cell) of N(E_F) for the records, taken in order: 9.1, 9.2, 2.8, 3.5, 6.0, 10.0, 5.7, 19.0, 12.8, 31.4, 3.0, 3.2, 3.7, 7.6, 2.4, 2.1, 0.9, 1.9, 5.3, 2.3, 6.7, 3.2, 5.0.
Calculated values (μB/atom) of total magnetization for the records, taken in order: 0.000, 0.250, 0.000, 0.000, 1.381, 0.000, 0.000, 0.000, 0.000, 0.907, 0.000, 0.000, 0.100, 0.000, 0.000, 0.000, 0.000, 0.120, 0.000, 0.000, 0.000, 0.000, 0.000.
Calculated values (eV per atom) of calculated total energy for the records, taken in order: -4.3514, -3.7240, -5.6154, -9.2143, -8.4685, -4.5190, -5.8395, -4.6422, -4.7805, -8.0631, -1.4260, -10.3799, -3.8230, -4.0457, -4.7067, -5.0735, -3.7327, -3.6323, -7.9937, -6.9847, -6.6509, -6.0728, -6.2706.